A geometry-optimized MnAsPb3 structure. Source: Alexandria via LeMat-Bulk, functional PBE.

space group	Pm-3m (221)
DFT total energy	-20.90	eV per cell
crystal system	cubic

Unit cell a=5.582 b=5.582 c=5.582 alpha=90.00 beta=90.00 gamma=90.00
Fractional positions:
Mn: 0.000 0.000 0.000
As: 0.500 0.500 0.500
Pb: 0.000 0.500 0.500
Pb: 0.500 0.000 0.500
Pb: 0.500 0.500 0.000


A geometry-optimized Ce2Ni3P4 structure. Source: Alexandria via LeMat-Bulk, functional PBE.

space group	Cmce (64)
DFT total energy	-117.66	eV per cell
crystal system	orthorhombic

Unit cell a=7.772 b=7.772 c=7.023 alpha=90.00 beta=90.00 gamma=139.18
Fractional positions:
Ce: 0.115 0.885 0.912
Ce: 0.385 0.615 0.412
Ce: 0.615 0.385 0.588
Ce: 0.885 0.115 0.088
Ni: 0.000 0.000 0.500
Ni: 0.041 0.459 0.750
Ni: 0.459 0.041 0.250
Ni: 0.500 0.500 0.000
Ni: 0.541 0.959 0.750
Ni: 0.959 0.541 0.250
P: 0.195 0.805 0.543
P: 0.200 0.300 0.750
P: 0.300 0.200 0.250
P: 0.305 0.695 0.043
P: 0.695 0.305 0.957
P: 0.700 0.800 0.750
P: 0.800 0.700 0.250
P: 0.805 0.195 0.457


no.,energy of formation (kJ/mol of atoms),V (Å³/cell)
1,78,174.0
2,-86,277.3